A geometry-optimized KSmMo2O8 structure. Source: Alexandria, functional PBE with a Hubbard U.

a b c (Å): 5.2023 18.8158 8.2240
angles (deg): 90.00 90.00 90.00
Fractional coordinates of all 48 atoms:
K 0.0000 0.2266 0.2500
K 0.0000 0.7734 0.7500
K 0.5000 0.2734 0.7500
K 0.5000 0.7266 0.2500
Sm 0.0000 0.0049 0.7500
Sm 0.0000 0.9951 0.2500
Sm 0.5000 0.4951 0.2500
Sm 0.5000 0.5049 0.7500
Mo 0.0201 0.3979 0.5121
Mo 0.0201 0.6021 0.0121
Mo 0.4799 0.1021 0.0121
Mo 0.4799 0.8979 0.5121
Mo 0.5201 0.1021 0.4879
Mo 0.5201 0.8979 0.9879
Mo 0.9799 0.3979 0.9879
Mo 0.9799 0.6021 0.4879
O 0.1041 0.3112 0.9823
O 0.1041 0.6888 0.4823
O 0.2271 0.4016 0.3376
O 0.2271 0.5984 0.8376
O 0.2386 0.4064 0.6836
O 0.2386 0.5936 0.1836
O 0.2505 0.0369 0.5023
O 0.2495 0.4631 0.0023
O 0.2495 0.5369 0.5023
O 0.2505 0.9631 0.0023
O 0.2614 0.0936 0.1836
O 0.2614 0.9064 0.6836
O 0.2729 0.0984 0.8376
O 0.2729 0.9016 0.3376
O 0.3959 0.1888 0.4823
O 0.3959 0.8112 0.9823
O 0.6041 0.1888 0.0177
O 0.6041 0.8112 0.5177
O 0.7271 0.0984 0.6624
O 0.7271 0.9016 0.1624
O 0.7386 0.0936 0.3164
O 0.7386 0.9064 0.8164
O 0.7495 0.0369 0.9977
O 0.7505 0.4631 0.4977
O 0.7505 0.5369 0.9977
O 0.7495 0.9631 0.4977
O 0.7614 0.4064 0.8164
O 0.7614 0.5936 0.3164
O 0.7729 0.4016 0.1624
O 0.7729 0.5984 0.6624
O 0.8959 0.3112 0.5177
O 0.8959 0.6888 0.0177

Values from the calculation:
* energy: -7.140 eV/atom